DFT (PBE) results for Sm2CdHg6 after structural relaxation.

Unit cell a=5.7188 b=6.7805 c=6.7805 alpha=59.75 beta=89.79 gamma=89.79
Fractional coordinates of all 9 atoms:
Sm: 0.8112 0.6662 0.6662
Sm: 0.1888 0.3338 0.3338
Cd: 0.0000 0.0000 0.0000
Hg: 0.3156 0.3689 0.8161
Hg: 0.3140 0.8147 0.8147
Hg: 0.3156 0.8161 0.3689
Hg: 0.6844 0.6311 0.1839
Hg: 0.6860 0.1853 0.1853
Hg: 0.6844 0.1839 0.6311

* DFT total energy: -1.5979 eV per atom
* energy above the most stable polymorph in this dataset: 0.66 eV/f.u.

DFT (PBE) results for Sm8Cd2Hg after structural relaxation.

Unit cell a=5.3215 b=7.2659 c=9.5685 alpha=106.20 beta=106.15 gamma=90.00
Fractional coordinates of all 11 atoms:
Sm: 0.4086 0.5413 0.8172
Sm: 0.6644 0.9587 0.3289
Sm: 0.8043 0.7050 0.6086
Sm: 0.9781 0.2380 0.9562
Sm: 0.1957 0.2950 0.3914
Sm: 0.3356 0.0413 0.6711
Sm: 0.5914 0.4587 0.1828
Sm: 0.0219 0.7620 0.0438
Cd: 0.8141 0.2895 0.6282
Cd: 0.1859 0.7105 0.3718
Hg: 0.5000 0.0000 0.0000

* DFT total energy: -3.7696 eV per atom
* energy above the most stable polymorph in this dataset: 0.45 eV/f.u.

The following ΔH_f (0 K) values (in eV per atom) correspond, in order, to the records above: -0.25 -0.14.